This record from the Alexandria database describes a crystal of Sr2TiSi2O8 relaxed with PBEsol. The functional is meta-GGA SCAN.

Results
The crystal system is tetragonal. The calculation puts the total moment at 0.00 Bohr magnetons per cell. The value obtained for the density of states at the Fermi level is 0.00 states/eV/cell. For the total energy, the calculation gives -13.31 eV per atom.

Cell and atoms, written as POSCAR:
```
Sr2TiSi2O8
1.0
5.002 0.000 0.000
0.000 8.411 0.000
0.000 0.000 8.411
Sr Ti Si O
4 2 4 16
Direct
0.997 0.173 0.673
0.997 0.827 0.327
0.997 0.673 0.827
0.997 0.327 0.173
0.558 0.500 0.500
0.558 0.000 0.000
0.530 0.370 0.870
0.530 0.630 0.130
0.530 0.870 0.630
0.530 0.130 0.370
0.656 0.500 0.000
0.656 0.000 0.500
0.210 0.372 0.872
0.210 0.628 0.128
0.210 0.872 0.628
0.210 0.128 0.372
0.677 0.205 0.920
0.677 0.795 0.080
0.677 0.705 0.580
0.677 0.295 0.420
0.677 0.080 0.205
0.677 0.920 0.795
0.677 0.420 0.705
0.677 0.580 0.295
0.219 0.500 0.500
0.219 0.000 0.000
```